# LiTaRh2, relaxed, DFT PBE
# DFT formation energy (eV/atom): -0.515
# E above lowest polymorph (meV/atom): 38
# Magnetization (μB/f.u.): 0.0
data_LiTaRh2
_chemical_formula_sum 'Li1 Ta1 Rh2'
_symmetry_space_group_name_H-M 'P 4/m m m'
_symmetry_Int_Tables_number 123
_symmetry_space_group_name_Hall '-P 4 2'
_cell_length_a 3.1653
_cell_length_b 3.1653
_cell_length_c 5.8244
_cell_angle_alpha 90.00
_cell_angle_beta 90.00
_cell_angle_gamma 90.00
loop_
_atom_site_label
_atom_site_type_symbol
_atom_site_fract_x
_atom_site_fract_y
_atom_site_fract_z
Li1 Li 0.0000 0.0000 0.0000
Ta1 Ta 0.0000 0.0000 0.5000
Rh1 Rh 0.5000 0.5000 0.2453